No. 1
This record from the Alexandria database describes a relaxed Sr2TcI2 crystal. The functional is PBE-GGA.

Lattice parameters (Å, degrees): 8.6636 8.6636 4.9421 90.00 90.00 90.00
Last column: nearest neighbours and their distance in Å.
Space group P4/mbm (No. 127)
One atom of each set of equivalent atoms:
Sr1 0.1698 0.3302 0.0000  2 Tc 3.22, 2 I 3.32
Tc1 0.0000 0.0000 0.0000  4 Sr 3.22
I1 0.1497 0.6497 0.5000  2 Sr 3.32, 1 I 3.67

Computed properties:
The energy above the most stable polymorph in this dataset comes out at 0 meV/atom. The uncorrected formation energy is -0.65 kcal/mol of atoms.

=====

No. 2
This record from the Alexandria database describes a relaxed Th5Os2Au2 crystal. The functional is PBE-GGA.

Lattice parameters (Å, degrees): 19.2802 6.6449 7.3853 90.00 90.00 90.00
Last column: nearest neighbours and their distance in Å.
Space group Ima2 (No. 46)
One atom of each set of equivalent atoms:
Th1 0.0755 0.1729 0.0000  2 Os 2.82-3.05
Th2 0.1606 0.6460 0.1418  2 Au 2.89-2.99, 2 Os 2.92-3.00
Th3 0.2500 0.1688 0.2717  2 Os 2.79-2.87
Os1 0.0000 0.0000 0.7128  4 Th 2.82-3.05, 4 Au 2.94-3.11
Os2 0.2500 0.5522 0.4499  6 Th 2.79-3.00
Au1 0.0596 0.6167 0.8365  1 Au 2.77, 2 Th 2.89-2.99, 1 Os 2.94

Computed properties:
The energy above the most stable polymorph in this dataset comes out at 131 meV/atom. As for the energy of formation from the pure elements: -3.23 eV/f.u.

=====

No. 3
This record from the Alexandria database describes a relaxed LaSiHg2Ge crystal. The functional is PBE-GGA.

Lattice parameters (Å, degrees): 5.9060 5.9060 5.4731 90.00 90.00 90.00
Last column: nearest neighbours and their distance in Å.
Space group P4/mmm (No. 123)
One atom of each set of equivalent atoms:
La1 0.0000 0.0000 0.0000  2 Si 2.74, 4 Hg 2.95
Si1 0.0000 0.0000 0.5000  2 La 2.74
Hg1 0.0000 0.5000 0.0000  2 La 2.95
Ge1 0.5000 0.5000 0.5000  8 Hg 4.03, 4 Si 4.18

Computed properties:
The uncorrected formation energy is 21.36 kcal/mol of atoms.

=====

No. 4
This record from the Alexandria database describes a relaxed PmTeRh crystal. The functional is PBE-GGA.

Lattice parameters (Å, degrees): 6.6375 6.6375 6.6375 90.00 90.00 90.00
Last column: nearest neighbours and their distance in Å.
Space group F-43m (No. 216)
One atom of each set of equivalent atoms:
Pm1 0.0000 0.0000 0.0000  4 Rh 2.87
Te1 0.0000 0.0000 0.5000  4 Rh 2.87
Rh1 0.2500 0.2500 0.2500  4 Te 2.87, 4 Pm 2.87

Computed properties:
The energy above the most stable polymorph in this dataset comes out at 0 meV/atom. The uncorrected formation energy is -25.58 kcal/mol of atoms.

=====

No. 5
This record from the Alexandria database describes a relaxed TaOsAu2 crystal. The functional is PBE-GGA.

Lattice parameters (Å, degrees): 9.3101 3.2237 4.7900 90.00 106.01 90.00
Last column: nearest neighbours and their distance in Å.
Space group Cm (No. 8)
One atom of each set of equivalent atoms:
Ta1 0.0000 0.0000 0.0000  2 Os 2.55
Os1 0.2149 0.5000 0.2050  2 Ta 2.55
Au1 0.2385 0.0000 0.7241  3 Au 2.79-2.88, 4 Os 2.87-2.92, 3 Ta 2.88-2.91
Au2 0.4773 0.0000 0.4785  3 Au 2.79-2.88, 4 Ta 2.86-2.93, 3 Os 2.87-2.92

Computed properties:
The energy above the most stable polymorph in this dataset comes out at 119 meV/atom. As for the energy of formation from the pure elements: 0.62 eV/f.u.

=====

No. 6
This record from the Alexandria database describes a relaxed MnAlTl2 crystal. The functional is PBE-GGA.

Lattice parameters (Å, degrees): 6.3078 8.4013 3.3688 90.00 90.00 90.00
Last column: nearest neighbours and their distance in Å.
Space group Cmmm (No. 65)
One atom of each set of equivalent atoms:
Mn1 0.0000 0.0000 0.0000  8 Tl 3.12, 2 Al 3.15, 2 Mn 3.37
Al1 0.0000 0.5000 0.0000  8 Tl 3.12, 2 Mn 3.15, 2 Al 3.37
Tl1 0.2500 0.2500 0.5000  4 Al 3.12, 4 Mn 3.12, 4 Tl 3.15-3.37

Computed properties:
The energy above the most stable polymorph in this dataset comes out at 208 meV/atom. As for the energy of formation from the pure elements: 1.75 eV/f.u.

=====

No. 7
This record from the Alexandria database describes a relaxed Ac4CeTl5 crystal. The functional is PBE-GGA.

Lattice parameters (Å, degrees): 4.0537 4.0537 20.8499 90.00 90.00 90.00
Last column: nearest neighbours and their distance in Å.
Space group P4/mmm (No. 123)
One atom of each set of equivalent atoms:
Ac1 0.0000 0.0000 0.1035  8 Tl 3.59-3.60
Ac2 0.0000 0.0000 0.3091  8 Tl 3.56-3.58, 1 Ce 3.98
Ce1 0.0000 0.0000 0.5000  8 Tl 3.40
Tl1 0.5000 0.5000 0.0000  8 Ac 3.59
Tl2 0.5000 0.5000 0.2077  8 Ac 3.56-3.60
Tl3 0.5000 0.5000 0.4123  4 Ce 3.40, 4 Ac 3.58, 1 Tl 3.66

Computed properties:
As for the energy of formation from the pure elements: -3.17 eV/f.u.

=====

No. 8
This record from the Alexandria database describes a relaxed La12Hg5Ru2 crystal. The functional is PBE-GGA.

Lattice parameters (Å, degrees): 17.4654 7.9109 10.2382 90.00 107.44 90.00
Last column: nearest neighbours and their distance in Å.
Space group C2/m (No. 12)
One atom of each set of equivalent atoms:
La1 0.0005 0.0000 0.2293  2 Ru 2.89, 1 Hg 3.22
La2 0.0046 0.5000 0.8174  2 Ru 2.95, 1 Hg 3.23
La3 0.1506 0.2509 0.5727  4 Hg 3.19-3.25
La4 0.1620 0.2331 0.0863  1 Ru 2.70
Hg1 0.0000 0.5000 0.5000  6 La 3.19-3.23
Hg2 0.1914 0.0000 0.8366  7 La 3.22-3.32
Hg3 0.1980 0.0000 0.3629  7 La 3.20-3.31
Ru1 0.0000 0.2136 0.0000  6 La 2.70-2.95

Computed properties:
As for the energy of formation from the pure elements: -4.32 eV/f.u.

=====

No. 9
This record from the Alexandria database describes a relaxed Tb2Pm2Nd2Ho crystal. The functional is PBE-GGA.

Lattice parameters (Å, degrees): 5.7435 5.7435 24.7394 90.00 90.00 120.00
Last column: nearest neighbours and their distance in Å.
Space group R-3m (No. 166, hexagonal axes)
One atom of each set of equivalent atoms:
Tb1 0.0000 0.0000 0.0719  3 Nd 3.49, 4 Pm 3.51-3.54, 1 Tb 3.56
Pm1 0.0000 0.0000 0.2150  4 Tb 3.51-3.54, 3 Ho 3.52, 1 Nd 3.61
Nd1 0.0000 0.0000 0.3610  1 Ho 3.44, 3 Tb 3.49, 3 Nd 3.59, 1 Pm 3.61
Ho1 0.0000 0.0000 0.5000  2 Nd 3.44, 6 Pm 3.52

Computed properties:
As for the energy of formation from the pure elements: 0.93 eV/f.u.

=====

No. 10
This record from the Alexandria database describes a relaxed ScGaSb2 crystal. The functional is PBE-GGA.

Lattice parameters (Å, degrees): 4.3987 4.3987 19.1280 90.00 90.00 120.00
Last column: nearest neighbours and their distance in Å.
Space group R3m (No. 160, hexagonal axes)
One atom of each set of equivalent atoms:
Sc1 0.0000 0.0000 0.0000  6 Sb 2.90-3.00, 1 Ga 3.18
Ga1 0.0000 0.0000 0.1664  6 Sb 3.00-3.10, 1 Sc 3.18
Sb1 0.0000 0.0000 0.4066  3 Sc 2.90, 3 Ga 3.10
Sb2 0.0000 0.0000 0.5829  3 Ga 3.00, 3 Sc 3.00

Computed properties:
The uncorrected formation energy is -5.95 kcal/mol of atoms.

=====

No. 11
This record from the Alexandria database describes a relaxed MoW3Br crystal. The functional is PBE-GGA.

Lattice parameters (Å, degrees): 4.5503 4.5503 4.5503 90.00 90.00 90.00
Last column: nearest neighbours and their distance in Å.
Space group Pm-3m (No. 221)
One atom of each set of equivalent atoms:
Mo1 0.0000 0.0000 0.0000  12 W 3.22
W1 0.0000 0.5000 0.5000  2 Br 2.28
Br1 0.5000 0.5000 0.5000  6 W 2.28

Computed properties:
The energy above the most stable polymorph in this dataset comes out at 0 meV/atom. The uncorrected formation energy is 52.47 kcal/mol of atoms.

=====

No. 12
This record from the Alexandria database describes a relaxed CeNd2PuP4 crystal. The functional is PBE-GGA.

Lattice parameters (Å, degrees): 7.1035 4.1046 7.1114 90.00 109.54 90.00
Last column: nearest neighbours and their distance in Å.
Space group P2/m (No. 10)
One atom of each set of equivalent atoms:
Ce1 0.0000 0.0000 0.0000  6 P 2.87
Nd1 0.0000 0.5000 0.5000  6 P 2.95-2.96
Nd2 0.5000 0.0000 0.5000  6 P 2.94
Pu1 0.5000 0.5000 0.0000  6 P 2.84-2.85
P1 0.2482 0.5000 0.2399  1 Pu 2.85, 2 Ce 2.87, 3 Nd 2.94-2.95
P2 0.2571 0.0000 0.7628  2 Pu 2.84, 1 Ce 2.87, 3 Nd 2.94-2.96

Computed properties:
As for the energy of formation from the pure elements: -11.45 eV/f.u.

=====

No. 13
This record from the Alexandria database describes a relaxed Cu5Os4 crystal. The functional is PBE-GGA.

Lattice parameters (Å, degrees): 7.9281 7.9281 3.7882 90.00 90.00 90.00
Last column: nearest neighbours and their distance in Å.
Space group I4/mmm (No. 139)
One atom of each set of equivalent atoms:
Cu1 0.0000 0.0000 0.0000  8 Cu 2.65, 4 Os 2.66
Cu2 0.1657 0.1657 0.5000  6 Cu 2.63-2.68, 6 Os 2.65-2.67
Os1 0.0000 0.3359 0.0000  5 Os 2.60-2.64, 7 Cu 2.65-2.67

Computed properties:
The energy above the most stable polymorph in this dataset comes out at 0 meV/atom. As for the energy of formation from the pure elements: 3.18 eV/f.u.

=====

No. 14
This record from the Alexandria database describes a relaxed CsZr2TaNb crystal. The functional is PBE-GGA.

Lattice parameters (Å, degrees): 5.4070 5.4070 5.0230 90.00 90.00 90.00
Last column: nearest neighbours and their distance in Å.
Space group P4/mmm (No. 123)
One atom of each set of equivalent atoms:
Cs1 0.0000 0.0000 0.0000  8 Zr 3.69, 4 Ta 3.82
Zr1 0.0000 0.5000 0.5000  2 Nb 2.70
Ta1 0.5000 0.5000 0.0000  2 Nb 2.51
Nb1 0.5000 0.5000 0.5000  2 Ta 2.51, 4 Zr 2.70

Computed properties:
As for the energy of formation from the pure elements: 6.68 eV/f.u.

=====

No. 15
This record from the Alexandria database describes a relaxed La2Hf2In crystal. The functional is PBE-GGA.

Lattice parameters (Å, degrees): 4.1441 4.1441 17.9479 90.00 90.00 90.00
Last column: nearest neighbours and their distance in Å.
Space group I4/mmm (No. 139)
One atom of each set of equivalent atoms:
La1 0.0000 0.0000 0.0978  4 In 3.42, 4 Hf 3.43, 1 La 3.51
Hf1 0.0000 0.5000 0.2500  4 Hf 2.93
In1 0.0000 0.0000 0.5000  8 La 3.42

Computed properties:
The energy above the most stable polymorph in this dataset comes out at 213 meV/atom. As for the energy of formation from the pure elements: 1.39 eV/f.u.

=====

No. 16
This record from the Alexandria database describes a relaxed NaAcSb crystal. The functional is PBE-GGA.

Lattice parameters (Å, degrees): 7.6668 7.6668 7.6668 90.00 90.00 90.00
Last column: nearest neighbours and their distance in Å.
Space group F-43m (No. 216)
One atom of each set of equivalent atoms:
Na1 0.0000 0.0000 0.0000  4 Sb 3.32
Ac1 0.0000 0.0000 0.5000  4 Sb 3.32
Sb1 0.2500 0.2500 0.2500  4 Ac 3.32, 4 Na 3.32

Computed properties:
The energy above the most stable polymorph in this dataset comes out at 2 meV/atom. The uncorrected formation energy is -13.12 kcal/mol of atoms.

=====

No. 17
This record from the Alexandria database describes a relaxed NaCuGe2Pd crystal. The functional is PBE-GGA.

Lattice parameters (Å, degrees): 4.3591 4.3591 9.8555 90.00 90.00 90.00
Last column: nearest neighbours and their distance in Å.
Space group I-4m2 (No. 119)
One atom of each set of equivalent atoms:
Na1 0.0000 0.0000 0.0000  4 Cu 3.29, 4 Pd 3.29, 10 Ge 3.33-3.66
Cu1 0.0000 0.5000 0.7500  4 Ge 2.49
Ge1 0.0000 0.0000 0.3717  2 Cu 2.49, 2 Pd 2.49, 1 Ge 2.53
Pd1 0.0000 0.5000 0.2500  4 Ge 2.49

Computed properties:
As for the energy of formation from the pure elements: -1.11 eV/f.u.

=====

No. 18
This record from the Alexandria database describes a relaxed Pr5Y12In3 crystal. The functional is PBE-GGA.

Lattice parameters (Å, degrees): 18.1448 18.1448 18.1448 90.00 90.00 90.00
Last column: nearest neighbours and their distance in Å.
Space group Ia-3d (No. 230)
One atom of each set of equivalent atoms:
Pr1 0.0000 0.0000 0.0000  6 Y 3.13
Pr2 0.0000 0.2500 0.3750  4 Y 3.11
Y1 0.0082 0.0797 0.6527  2 Pr 3.11-3.13, 2 In 3.13-3.32, 1 Y 3.17
In1 0.0000 0.2500 0.1250  8 Y 3.13-3.32

Computed properties:
As for the energy of formation from the pure elements: 15.41 eV/f.u.

=====

No. 19
This record from the Alexandria database describes a relaxed GaRh2N crystal. The functional is PBE-GGA.

Lattice parameters (Å, degrees): 5.2095 5.2095 9.4888 90.00 90.00 90.00
Last column: nearest neighbours and their distance in Å.
Space group I-42d (No. 122)
One atom of each set of equivalent atoms:
Ga1 0.0000 0.0000 0.0000  4 Rh 2.51
Rh1 0.1559 0.2500 0.6250  2 N 1.94
N1 0.0000 0.0000 0.5000  4 Rh 1.94

Computed properties:
The uncorrected formation energy is 3.40 kcal/mol of atoms.

=====

No. 20
This record from the Alexandria database describes a relaxed MoAs3I crystal. The functional is PBE-GGA.

Lattice parameters (Å, degrees): 4.9451 4.9451 4.9451 90.00 90.00 90.00
Last column: nearest neighbours and their distance in Å.
Space group Pm-3m (No. 221)
One atom of each set of equivalent atoms:
Mo1 0.0000 0.0000 0.0000  6 As 2.47
As1 0.0000 0.0000 0.5000  2 Mo 2.47
I1 0.5000 0.5000 0.5000  12 As 3.50

Computed properties:
The energy above the most stable polymorph in this dataset comes out at 0 meV/atom. The uncorrected formation energy is 7.57 kcal/mol of atoms.

=====

No. 21
This record from the Alexandria database describes a relaxed Fe2W crystal. The functional is PBE-GGA.

Lattice parameters (Å, degrees): 4.1791 4.1791 2.5879 90.00 90.00 120.00
Last column: nearest neighbours and their distance in Å.
Space group P-3m1 (No. 164)
One atom of each set of equivalent atoms:
Fe1 0.3333 0.6667 0.1491  5 Fe 2.53-2.59, 3 W 2.58
W1 0.0000 0.0000 0.5000  6 Fe 2.58, 2 W 2.59

Computed properties:
As for the energy of formation from the pure elements: 0.21 eV/f.u.

=====

No. 22
This record from the Alexandria database describes a relaxed NaGaAgPt crystal. The functional is PBE-GGA.

Lattice parameters (Å, degrees): 6.4573 6.4573 6.4573 90.00 90.00 90.00
Last column: nearest neighbours and their distance in Å.
Space group F-43m (No. 216)
One atom of each set of equivalent atoms:
Na1 0.0000 0.0000 0.0000  4 Pt 2.80, 4 Ag 2.80
Ga1 0.0000 0.0000 0.5000  4 Ag 2.80, 4 Pt 2.80
Ag1 0.2500 0.2500 0.7500  4 Na 2.80, 4 Ga 2.80
Pt1 0.2500 0.2500 0.2500  4 Na 2.80, 4 Ga 2.80

Computed properties:
As for the energy of formation from the pure elements: -0.70 eV/f.u.